Record 1
DFT (meta-GGA SCAN) results for La2ZrFe at its PBEsol-relaxed geometry.

```
data_La2ZrFe
_space_group_name_H-M_alt 'C 1 m 1'
_space_group_IT_number 8
_cell_length_a 11.4885
_cell_length_b 3.4770
_cell_length_c 5.4747
_cell_angle_alpha 90.00
_cell_angle_beta 117.35
_cell_angle_gamma 90.00
loop_
_space_group_symop_operation_xyz
'x,y,z'
'x,-y,z'
'x+1/2,y+1/2,z'
'x+1/2,-y+1/2,z'
loop_
_atom_site_label
_atom_site_fract_x
_atom_site_fract_y
_atom_site_fract_z
_atom_site_occupancy
La1 0.0000 0.0000 0.0000 1
La2 0.1979 0.0000 0.7002 1
Zr1 0.3127 0.5000 0.3142 1
Fe1 0.4803 0.0000 0.4498 1
```

Output
The formation energy is 0.223 eV/atom. As for the theoretical density: 7.26 g/cm³.

---

Record 2
DFT (meta-GGA SCAN) results for La2ZrFe at its PBEsol-relaxed geometry.

```
data_La2ZrFe
_space_group_name_H-M_alt 'P 4/m m m'
_space_group_IT_number 123
_space_group_name_Hall '-P 4 2'
_cell_length_a 5.3127
_cell_length_b 5.3127
_cell_length_c 3.4138
_cell_angle_alpha 90.00
_cell_angle_beta 90.00
_cell_angle_gamma 90.00
loop_
_atom_site_label
_atom_site_fract_x
_atom_site_fract_y
_atom_site_fract_z
_atom_site_occupancy
La1 0.0000 0.5000 0.0000 1
Zr1 0.0000 0.0000 0.5000 1
Fe1 0.5000 0.5000 0.5000 1
```

Output
The formation energy is 0.412 eV/atom. As for the theoretical density: 7.32 g/cm³.

---

Record 3
DFT (meta-GGA SCAN) results for LaZr2Fe at its PBEsol-relaxed geometry.

```
data_LaZr2Fe
_space_group_name_H-M_alt 'I -4 m 2'
_space_group_IT_number 119
_space_group_name_Hall 'I -4 -2'
_cell_length_a 4.3884
_cell_length_b 4.3884
_cell_length_c 8.7796
_cell_angle_alpha 90.00
_cell_angle_beta 90.00
_cell_angle_gamma 90.00
loop_
_atom_site_label
_atom_site_fract_x
_atom_site_fract_y
_atom_site_fract_z
_atom_site_occupancy
La1 0.0000 0.0000 0.0000 1
Zr1 0.0000 0.0000 0.5000 1
Zr2 0.0000 0.5000 0.2500 1
Fe1 0.0000 0.5000 0.7500 1
```

Output
The formation energy is 0.371 eV/atom. As for the theoretical density: 7.41 g/cm³.